Material: ThTcP2Os
Method: DFT, PBE
State: relaxed

Computed properties:
The value obtained for the calculated formation energy is -850 meV per atom. The value obtained for the density is 11.3 g cm⁻³. The magnetic moment is 0.0 μB/f.u.

Structure (POSCAR):
```
ThTcP2Os
1.0
4.169 0.000 0.000
0.000 4.169 0.000
0.000 0.000 9.817
Th Tc P Os
2 2 4 2
Direct
0.000 0.000 0.000
0.500 0.500 0.500
0.000 0.500 0.250
0.500 0.000 0.750
0.000 0.000 0.366
0.000 0.000 0.634
0.500 0.500 0.134
0.500 0.500 0.866
0.000 0.500 0.750
0.500 0.000 0.250
```


Material: TcPOsW2
Method: DFT, PBE
State: relaxed

Computed properties:
The value obtained for the calculated formation energy is 1915 meV per atom. The value obtained for the density is 11.4 g cm⁻³. The magnetic moment is 1.7 μB/f.u.

Structure (POSCAR):
```
TcPOsW2
1.0
4.831 0.000 0.000
0.000 4.831 0.000
0.000 0.000 4.285
Tc P Os W
1 1 1 2
Direct
0.000 0.000 0.000
0.500 0.500 0.000
0.500 0.500 0.500
0.000 0.500 0.500
0.500 0.000 0.500
```


Material: TePOs2
Method: DFT, PBE
State: relaxed

Computed properties:
The value obtained for the density is 13.6 g cm⁻³. The magnetic moment is 0.0 μB/f.u. Its total energy is -6.98 eV per atom.

Structure (POSCAR):
```
TePOs2
1.0
2.953 0.000 0.000
0.000 4.894 0.000
0.000 0.000 9.135
Te P Os
2 2 4
Direct
0.000 0.000 0.000
0.500 0.500 0.500
0.000 0.000 0.500
0.500 0.500 0.000
0.000 0.500 0.199
0.000 0.500 0.801
0.500 0.000 0.301
0.500 0.000 0.699
```


Material: TePOs2
Method: DFT, PBE
State: relaxed

Computed properties:
The value obtained for the density is 11.9 g cm⁻³. The magnetic moment is 0.0 μB/f.u. Its total energy is -7.33 eV per atom.

Structure (POSCAR):
```
TePOs2
1.0
3.008 0.000 0.000
-1.504 2.605 0.000
0.000 0.000 28.903
Te P Os
3 3 6
Direct
0.000 0.000 0.000
0.333 0.667 0.667
0.667 0.333 0.333
0.000 0.000 0.205
0.333 0.667 0.872
0.667 0.333 0.539
0.000 0.000 0.483
0.000 0.000 0.739
0.333 0.667 0.150
0.333 0.667 0.406
0.667 0.333 0.072
0.667 0.333 0.816
```